SbAs2Au after structural relaxation. Source: Alexandria, functional PBE-GGA.

Lattice parameters (Å, degrees): 6.282 6.282 4.473 110.33 110.33 34.07
Sites, in units of the cell vectors:
Sb 0.000 0.000 0.000
As 0.262 0.262 0.324
As 0.738 0.738 0.676
Au 0.500 0.500 0.500

Summary:
Raw formation energy (kJ per mole of atoms): -2.26